# 1
First-principles (PBE) data for a geometry-optimized PmZn2Ni2 structure, as listed in Alexandria via LeMat-Bulk.

Results
DFT total energy: -4.08 eV per atom
Energy relative to the elements: -0.31 eV/atom
Energy relative to the lowest polymorph listed for this composition: 0 meV/atom
Fermi-level density of states: 3.212 states/eV/f.u.
SG: No. 12
Magnetization: 0.00 μB/f.u.

Cell and atoms, written as POSCAR:
```
PmZn2Ni2
1.0
4.831 -2.020 0.000
4.831 2.020 0.000
-1.546 0.000 4.416
Pm Zn Ni
1 2 2
direct
0.000 0.000 0.000
0.353 0.353 0.423
0.647 0.647 0.577
0.268 0.268 0.862
0.732 0.732 0.138
```



# 2
First-principles (PBE) data for a geometry-optimized Rb2UAsO6 structure, as listed in Alexandria via LeMat-Bulk.

Results
DFT total energy: -6.80 eV per atom
Fermi-level density of states: 5.678 states/eV/f.u.
SG: No. 225
Magnetization: 0.00 μB/f.u.

Cell and atoms, written as POSCAR:
```
Rb2UAsO6
1.0
0.000 4.167 4.167
4.167 0.000 4.167
4.167 4.167 0.000
Rb U As O
2 1 1 6
direct
0.250 0.250 0.250
0.750 0.750 0.750
0.000 0.000 0.000
0.500 0.500 0.500
0.254 0.254 0.746
0.254 0.746 0.254
0.254 0.746 0.746
0.746 0.254 0.254
0.746 0.254 0.746
0.746 0.746 0.254
```



# 3
First-principles (PBE) data for a geometry-optimized CsHfCl3 structure, as listed in Alexandria via LeMat-Bulk.

Results
DFT total energy: -4.65 eV per atom
Fermi-level density of states: 2.435 states/eV/f.u.
SG: No. 221
Magnetization: 0.00 μB/f.u.

Cell and atoms, written as POSCAR:
```
CsHfCl3
1.0
5.089 0.000 0.000
0.000 5.089 0.000
0.000 0.000 5.089
Cs Hf Cl
1 1 3
direct
0.000 0.000 0.000
0.500 0.500 0.500
0.000 0.500 0.500
0.500 0.000 0.500
0.500 0.500 0.000
```



# 4
First-principles (PBE) data for a geometry-optimized Sr2SiBr structure, as listed in Alexandria via LeMat-Bulk.

Results
DFT total energy: -3.54 eV per atom
Energy relative to the lowest polymorph listed for this composition: 14 meV/atom
Fermi-level density of states: 1.088 states/eV/f.u.
SG: No. 10
Magnetization: 0.00 μB/f.u.

Cell and atoms, written as POSCAR:
```
Sr2SiBr
1.0
4.091 0.000 0.000
0.000 3.795 0.000
-0.068 0.000 8.593
Sr Si Br
2 1 1
direct
0.003 0.000 0.206
0.997 0.000 0.794
0.500 0.500 0.000
0.000 0.500 0.500
```



# 5
First-principles (PBE) data for a geometry-optimized Cr2CoIr2Rh2 structure, as listed in Alexandria via LeMat-Bulk.

Results
DFT total energy: -8.46 eV per atom
Energy relative to the elements: -0.06 eV/atom
Fermi-level density of states: 7.988 states/eV/f.u.
SG: No. 12
Magnetization: 0.94 μB/f.u.

Cell and atoms, written as POSCAR:
```
Cr2CoIr2Rh2
1.0
4.227 -1.873 0.000
4.227 1.873 0.000
-0.881 0.000 5.848
Cr Co Ir Rh
2 1 2 2
direct
0.205 0.205 0.152
0.795 0.795 0.848
0.500 0.500 0.000
0.358 0.358 0.580
0.642 0.642 0.420
0.080 0.080 0.744
0.920 0.920 0.256
```



# 6
First-principles (PBE) data for a geometry-optimized Sm2Th2Ru3 structure, as listed in Alexandria via LeMat-Bulk.

Results
DFT total energy: -7.74 eV per atom
Energy relative to the elements: -0.29 eV/atom
Energy relative to the lowest polymorph listed for this composition: 61 meV/atom
Fermi-level density of states: 3.505 states/eV/f.u.
SG: No. 2
Magnetization: 0.00 μB/f.u.

Cell and atoms, written as POSCAR:
```
Sm2Th2Ru3
1.0
3.989 0.000 0.000
0.006 6.366 0.000
1.956 0.117 6.916
Sm Th Ru
2 2 3
direct
0.112 0.127 0.283
0.888 0.873 0.717
0.357 0.386 0.785
0.643 0.614 0.215
0.000 0.500 0.500
0.254 0.814 0.990
0.746 0.186 0.010
```



# 7
First-principles (PBE) data for a geometry-optimized Ac2InIr3O12 structure, as listed in Alexandria via LeMat-Bulk.

Results
DFT total energy: -6.85 eV per atom
Fermi-level density of states: 8.934 states/eV/f.u.
SG: No. 166
Magnetization: 0.00 μB/f.u.

Cell and atoms, written as POSCAR:
```
Ac2InIr3O12
1.0
3.580 2.067 5.438
-3.580 2.067 5.438
0.000 -4.134 5.438
Ac In Ir O
2 1 3 12
direct
0.117 0.117 0.117
0.883 0.883 0.883
0.500 0.500 0.500
0.000 0.500 0.500
0.500 0.000 0.500
0.500 0.500 0.000
0.097 0.632 0.632
0.200 0.200 0.634
0.200 0.634 0.200
0.366 0.800 0.800
0.368 0.368 0.903
0.368 0.903 0.368
0.632 0.097 0.632
0.632 0.632 0.097
0.634 0.200 0.200
0.800 0.366 0.800
0.800 0.800 0.366
0.903 0.368 0.368
```



# 8
First-principles (PBE) data for a geometry-optimized SrYZnF2 structure, as listed in Alexandria via LeMat-Bulk.

Results
DFT total energy: -3.18 eV per atom
Fermi-level density of states: 3.472 states/eV/f.u.
SG: No. 123
Magnetization: 0.00 μB/f.u.

Cell and atoms, written as POSCAR:
```
SrYZnF2
1.0
4.763 0.000 0.000
0.000 4.763 0.000
0.000 0.000 5.830
Sr Y Zn F
1 1 1 2
direct
0.000 0.000 0.000
0.500 0.500 0.000
0.000 0.000 0.500
0.000 0.500 0.500
0.500 0.000 0.500
```



# 9
First-principles (PBE) data for a geometry-optimized Li2AcHg3 structure, as listed in Alexandria via LeMat-Bulk.

Results
DFT total energy: -1.88 eV per atom
Energy relative to the elements: -0.41 eV/atom
Energy relative to the lowest polymorph listed for this composition: 0 meV/atom
Fermi-level density of states: 2.502 states/eV/f.u.
SG: No. 194
Magnetization: 0.00 μB/f.u.

Cell and atoms, written as POSCAR:
```
Li2AcHg3
1.0
4.788 0.000 0.000
-2.394 4.147 0.000
0.000 0.000 14.695
Li Ac Hg
4 2 6
direct
0.333 0.667 0.065
0.333 0.667 0.435
0.667 0.333 0.565
0.667 0.333 0.935
0.000 0.000 0.250
0.000 0.000 0.750
0.000 0.000 0.000
0.000 0.000 0.500
0.333 0.667 0.623
0.333 0.667 0.877
0.667 0.333 0.123
0.667 0.333 0.377
```



# 10
First-principles (PBE) data for a geometry-optimized InGaRe2Ag structure, as listed in Alexandria via LeMat-Bulk.

Results
DFT total energy: -4.98 eV per atom
Energy relative to the elements: 1.73 eV/atom
Fermi-level density of states: 5.347 states/eV/f.u.
SG: No. 123
Magnetization: 1.40 μB/f.u.

Cell and atoms, written as POSCAR:
```
InGaRe2Ag
1.0
4.628 0.000 0.000
0.000 4.628 0.000
0.000 0.000 4.849
In Ga Re Ag
1 1 2 1
direct
0.000 0.000 0.000
0.000 0.000 0.500
0.000 0.500 0.500
0.500 0.000 0.500
0.500 0.500 0.000
```



# 11
First-principles (PBE) data for a geometry-optimized La7Sm2Th structure, as listed in Alexandria via LeMat-Bulk.

Results
DFT total energy: -4.80 eV per atom
Energy relative to the elements: 0.33 eV/atom
Fermi-level density of states: 19.105 states/eV/f.u.
SG: No. 65
Magnetization: 0.00 μB/f.u.

Cell and atoms, written as POSCAR:
```
La7Sm2Th
1.0
6.150 -8.629 0.000
6.150 8.629 0.000
0.000 0.000 3.522
La Sm Th
7 2 1
direct
0.000 0.000 0.000
0.120 0.372 0.000
0.177 0.823 0.500
0.372 0.120 0.000
0.628 0.880 0.000
0.823 0.177 0.500
0.880 0.628 0.000
0.335 0.665 0.000
0.665 0.335 0.000
0.500 0.500 0.500
```



# 12
First-principles (PBE) data for a geometry-optimized K2NbHgF6 structure, as listed in Alexandria via LeMat-Bulk.

Results
DFT total energy: -4.88 eV per atom
Fermi-level density of states: 8.518 states/eV/f.u.
SG: No. 225
Magnetization: 1.00 μB/f.u.

Cell and atoms, written as POSCAR:
```
K2NbHgF6
1.0
0.000 4.917 4.917
4.917 0.000 4.917
4.917 4.917 0.000
K Nb Hg F
2 1 1 6
direct
0.250 0.250 0.250
0.750 0.750 0.750
0.000 0.000 0.000
0.500 0.500 0.500
0.204 0.204 0.796
0.204 0.796 0.204
0.204 0.796 0.796
0.796 0.204 0.204
0.796 0.204 0.796
0.796 0.796 0.204
```



- Which of these has the highest Fermi-level density of states?
  La7Sm2Th



- What is the magnetization in the twelfth record?
  1.00 μB/f.u.